Density functional theory data (GGA-PBE) for a relaxed structure of TlAsPd4.

Values from the calculation:
- Energy of formation from the pure elements: -0.294 eV/atom
- Energy above the lowest structure with this stoichiometry: 0.000 eV/atom
- Final energy: -118.22 eV per cell
- Total moment: 0.0 μB per cell
- Fermi-level density of states: 0.263 states/eV/atom

```
24
Lattice="-1.0019 0.5161 -3.3163 6.6148 -1.1920 -2.1840 -3.4181 -16.2316 -1.4933" Properties=species:S:1:pos:R:3 pbc="T T T"
Pd 1.5616 -0.8526 -3.3789
Pd 4.8242 -4.0176 -4.8572
As -0.6051 -7.1310 -3.7014
Pd 3.4938 -7.9789 -5.0717
Pd -1.2387 -13.8554 -4.5564
Pd -2.6294 -12.8900 -2.1364
Pd -1.2990 -8.9286 -1.9218
Pd -0.3573 -0.9391 -0.9630
As -1.8383 -15.5002 -2.7816
Pd 1.0075 -11.9213 -3.0844
Pd -0.5616 -5.7214 -1.6455
Pd 0.6332 -16.0550 -3.6146
Pd 1.1873 -4.9863 -3.9091
Tl 3.7379 -5.7942 -2.9558
As 4.0331 -1.4073 -4.2120
Tl 1.3615 -13.6219 -5.3057
Pd 2.7564 -11.1861 -5.3480
Pd 3.4335 -3.0521 -2.4371
Pd 0.5125 -9.3519 -4.3847
Tl 0.8333 -3.2856 -1.6879
Pd 2.5521 -15.9684 -6.0305
Pd 1.6823 -7.5556 -2.6089
As 2.7999 -9.7766 -3.2922
Tl -1.5431 -11.1134 -4.0377
```

=====

Density functional theory data (GGA-PBE) for a relaxed structure of RbNa2TlH.

Values from the calculation:
- Final energy: -9.17 eV per cell
- Total moment: 0.0 μB per cell
- Fermi-level density of states: 0.545 states/eV/atom

```
5
Lattice="5.1470 0.0000 0.0000 0.0000 5.1470 0.0000 0.0000 0.0000 5.6292" Properties=species:S:1:pos:R:3 pbc="T T T"
Na 2.5735 0.0000 0.0000
Tl 2.5735 2.5735 2.8146
Na 0.0000 2.5735 0.0000
Rb 0.0000 0.0000 2.8146
H 0.0000 0.0000 0.0000
```

=====

Density functional theory data (GGA-PBE) for a relaxed structure of BaLa3Te.

Values from the calculation:
- Energy above the lowest structure with this stoichiometry: 0.000 eV/atom
- Formation energy without anion corrections: -7.0 kcal/mol of atoms
- Final energy: -21.38 eV per cell
- Total moment: 0.0 μB per cell
- Fermi-level density of states: 2.671 states/eV/atom

```
5
Lattice="6.1526 0.0000 0.0000 0.0000 6.1526 0.0000 0.0000 0.0000 6.1526" Properties=species:S:1:pos:R:3 pbc="T T T"
La 0.0000 3.0763 0.0000
La 0.0000 0.0000 3.0763
Te 0.0000 0.0000 0.0000
La 3.0763 0.0000 0.0000
Ba 3.0763 3.0763 3.0763
```

=====

Density functional theory data (GGA-PBE) for a relaxed structure of CePbIO6.

Values from the calculation:
- Formation energy without anion corrections: -32.9 kcal/mol of atoms
- Final energy: -107.56 eV per cell
- Total moment: 0.0 μB per cell
- Fermi-level density of states: 0.625 states/eV/atom

```
18
Lattice="-1.8711 -1.8389 5.1876 4.0511 -3.0256 -2.8685 7.3398 5.4769 4.5888" Properties=species:S:1:pos:R:3 pbc="T T T"
Ce 3.9120 -1.2608 0.9640
O 2.3124 -2.2643 2.2672
O 3.3174 0.1824 2.6456
O 8.8530 2.6625 2.2642
O 7.2074 2.8767 4.6406
O 1.5581 0.6504 4.9010
O 0.4723 -0.0441 2.5605
Pb 3.6699 2.7385 2.2944
O 3.3005 -1.6658 4.8784
O 9.0475 0.6565 4.3473
O 6.2193 2.2782 2.0294
Pb 0.0000 0.0000 0.0000
I 7.5819 1.4777 3.2584
O 0.6668 -2.0500 4.6437
O 6.2024 0.4301 4.2622
O 7.9617 -0.0380 2.0068
I 1.9379 -0.8652 3.6494
Ce 5.6078 1.8732 5.9438
```

=====

Density functional theory data (GGA-PBE) for a relaxed structure of MnBSe3.

Values from the calculation:
- Energy above the lowest structure with this stoichiometry: 0.000 eV/atom
- Formation energy without anion corrections: 25.4 kcal/mol of atoms
- Final energy: -20.80 eV per cell
- Total moment: 0.0 μB per cell
- Fermi-level density of states: 1.494 states/eV/atom

```
5
Lattice="4.3571 0.0000 0.0000 0.0000 4.3571 0.0000 0.0000 0.0000 4.3571" Properties=species:S:1:pos:R:3 pbc="T T T"
Se 0.0000 0.0000 2.1786
Mn 2.1786 2.1786 2.1786
Se 2.1786 0.0000 0.0000
Se 0.0000 2.1786 0.0000
B 0.0000 0.0000 0.0000
```

=====

- What is the final energy in the third record?
  -21.38 eV per cell